Fe2IrAu (GGA-PBE, relaxed); final energy = -28.8 eV/f.u.; energy of formation = 0.07 eV per atom; distance to the lowest polymorph of the same formula = 0 meV per atom
1.0
2.726 0.000 0.000
0.000 2.726 0.000
0.000 0.000 7.676
Ir Fe Au
1 2 1
direct
0.500 0.500 0.250
0.000 0.000 0.016
0.000 0.000 0.484
0.500 0.500 0.750